[1]
A geometry-optimized RbTiAg3 structure. Source: Alexandria, functional PBE-GGA.

Summary:
The value obtained for the final energy is -2.859 eV per atom. The formation energy from the elements comes out at 0.62 eV per atom. As for the density of states at the Fermi level: 3.6 states/eV per cell.

The structure in POSCAR format:
```
RbTiAg3
1.0
5.3492 0.0000 0.0000
0.0000 5.3492 0.0000
0.0000 0.0000 5.3492
Rb Ag Ti
1 3 1
Direct
0.5000 0.5000 0.5000
0.0000 0.5000 0.0000
0.0000 0.0000 0.5000
0.5000 0.0000 0.0000
0.0000 0.0000 0.0000
```

=====

[2]
A geometry-optimized K2ReO4 structure. Source: Alexandria, functional PBE-GGA.

Summary:
The value obtained for the final energy is -6.621 eV per atom. The formation energy (no corrections) comes out at -1696.3 meV/atom. As for the density of states at the Fermi level: 10.1 states/eV per cell.

The structure in POSCAR format:
```
K2ReO4
1.0
-0.9705 -1.7154 -5.5330
-2.8270 -5.3540 2.1557
-6.1484 4.1012 2.1227
K Re O
4 2 8
Direct
0.2840 0.2500 0.9829
0.7160 0.7500 0.0171
0.4190 0.7500 0.3865
0.5810 0.2500 0.6135
0.8786 0.2500 0.2373
0.1214 0.7500 0.7627
0.7332 0.4740 0.2998
0.8034 0.2500 0.9896
0.1966 0.7500 0.0104
0.7332 0.0260 0.2998
0.8026 0.7500 0.6884
0.2668 0.9740 0.7002
0.2668 0.5260 0.7002
0.1974 0.2500 0.3116
```

=====

[3]
A geometry-optimized HfCu2Ag2 structure. Source: Alexandria, functional PBE-GGA.

Summary:
The value obtained for the final energy is -4.522 eV per atom. The formation energy from the elements comes out at 0.25 eV per atom. As for the density of states at the Fermi level: 3.0 states/eV per cell.

The structure in POSCAR format:
```
HfCu2Ag2
1.0
-1.4120 0.7511 -3.2034
2.3346 -2.2277 -1.5514
-3.9025 -5.8209 -1.6457
Hf Cu Ag
1 2 2
Direct
0.0000 0.0000 0.0000
0.7500 0.2500 0.5000
0.2500 0.7500 0.5000
0.3949 0.3949 0.2102
0.6051 0.6051 0.7898
```

=====

[4]
A geometry-optimized Y2GaAg3 structure. Source: Alexandria, functional PBE-GGA.

Summary:
The value obtained for the final energy is -4.451 eV per atom. The formation energy from the elements comes out at -0.37 eV per atom. As for the density of states at the Fermi level: 7.5 states/eV per cell.

The structure in POSCAR format:
```
Y2GaAg3
1.0
-0.6368 2.6855 5.1144
1.4286 -3.8467 4.1153
7.3490 3.0830 -4.9645
Y Ga Ag
4 2 6
Direct
0.7500 0.2500 0.5000
0.7538 0.2462 0.0000
0.2500 0.7500 0.5000
0.2462 0.7538 0.0000
0.6662 0.6662 0.3324
0.3338 0.3338 0.6676
0.8288 0.8288 0.1699
0.6589 0.6589 0.8301
0.1712 0.1712 0.8301
0.3411 0.3411 0.1699
0.1708 0.1708 0.3416
0.8292 0.8292 0.6584
```

=====

| no. | distance to the lowest polymorph of the same formula (eV per formula unit) |
| --- | --- |
| 1 | 0.000 |
| 2 | 0.172 |
| 3 | 0.608 |
| 4 | 0.000 |